Entry 1:
## LiCaH6Au2 (PBE)

Data for a relaxed structure of LiCaH6Au2.

a = 6.342 Å, b = 6.342 Å, c = 6.728 Å
α = 110.55°, β = 110.55°, γ = 98.61°
Positions (direct):
Au1 0.598 0.722 0.210
H1 0.231 0.656 0.421
H2 0.840 0.651 0.330
H3 0.230 0.978 0.660
Au2 0.722 0.598 0.710
H4 0.651 0.840 0.830
H5 0.022 0.770 0.840
H6 0.769 0.344 0.579
H7 0.344 0.769 0.079
H8 0.978 0.230 0.160
H9 0.770 0.022 0.340
Au3 0.278 0.402 0.290
H10 0.160 0.349 0.670
Li1 0.301 0.699 0.750
Li2 0.699 0.301 0.250
H11 0.656 0.231 0.921
Ca1 0.900 0.100 0.750
Au4 0.402 0.278 0.790
Ca2 0.100 0.900 0.250
H12 0.349 0.160 0.170

Computed properties:
* final energy: -0.23806 Ry per atom

Entry 2:
## Cd4Co3 (PBE)

Data for a relaxed structure of Cd4Co3.

a = 13.518 Å, b = 13.518 Å, c = 13.518 Å
α = 167.31°, β = 167.31°, γ = 17.98°
Site moments in Bohr magnetons follow the coordinates.
Positions (direct):
Co1 0.000 0.000 0.000  1.87
Co2 0.454 0.454 0.000  1.59
Cd1 0.705 0.705 0.000  0.01
Co3 0.546 0.546 0.000  1.59
Cd2 0.295 0.295 0.000  0.01
Cd3 0.114 0.114 0.000  -0.02
Cd4 0.886 0.886 0.000  -0.02

Computed properties:
* E_form: 0.155 eV per atom